This record from the Alexandria database describes crystalline VIn2F4 at its relaxed geometry. The functional is PBE with a Hubbard U.

a = 8.4864 Å, b = 9.4751 Å, c = 3.3743 Å
α = 90.00°, β = 90.00°, γ = 90.00°
Closest atoms and distances in Å follow each position.
Fractional positions:
V1 0.0000 0.0000 0.0000  6 F 2.12-2.16
V2 0.5000 0.5000 0.0000  6 F 2.12-2.16
In1 0.1382 0.3427 0.5000  3 F 2.45-2.47
In2 0.3618 0.8427 0.5000  3 F 2.45-2.47
In3 0.6382 0.1573 0.5000  3 F 2.45-2.47
In4 0.8618 0.6573 0.5000  3 F 2.45-2.47
F1 0.1295 0.0817 0.5000  2 V 2.16
F2 0.1530 0.8238 0.0000  1 V 2.12
F3 0.3470 0.3238 0.0000  1 V 2.12
F4 0.3705 0.5817 0.5000  2 V 2.16
F5 0.6295 0.4183 0.5000  2 V 2.16
F6 0.6530 0.6762 0.0000  1 V 2.12
F7 0.8470 0.1762 0.0000  1 V 2.12
F8 0.8705 0.9183 0.5000  2 V 2.16

Computed properties:
energy	-69.919	eV for the cell shown